No. 1
A plane-wave DFT calculation with PBE was carried out for a geometry-optimized PaInH2 structure.

a b c (Å): 3.4789 6.1223 5.7027
angles (deg): 90.00 90.00 90.00
Fractional positions:
Pa  0.2500  0.2500  0.1133
Pa  0.7500  0.7500  0.8867
In  0.2500  0.7500  0.3967
In  0.7500  0.2500  0.6033
H  0.2500  0.5338  0.8854
H  0.2500  0.9662  0.8854
H  0.7500  0.0338  0.1146
H  0.7500  0.4662  0.1146

The value obtained for the offset from the most stable computed form is 13.3 meV per atom. For the total magnetization, the calculation gives 0.00 μB per cell. The calculation puts the density of states at the Fermi level at 2.96 states/eV/f.u. The density is 9.51 g/cm³. The value obtained for the calculated total energy is -4.948 eV/atom.

---

No. 2
A plane-wave DFT calculation with PBE was carried out for a geometry-optimized LaSi4Rh2 structure.

a b c (Å): 5.7067 5.7067 5.6669
angles (deg): 119.58 119.58 75.77
Fractional positions:
La  0.0000  0.0000  0.0000
Si  0.2394  0.2394  0.7400
Si  0.2396  0.7604  0.5000
Si  0.7604  0.2396  0.5000
Si  0.7606  0.7606  0.2600
Rh  0.4997  0.4997  0.2492
Rh  0.5003  0.5003  0.7508

For the total magnetization, the calculation gives 0.00 μB per cell. The calculation puts the density of states at the Fermi level at 2.39 states/eV/f.u. The density is 5.44 g/cm³. The uncorrected formation energy is -4.348 eV per formula unit. The value obtained for the calculated total energy is -6.524 eV/atom.

---

No. 3
A plane-wave DFT calculation with PBE was carried out for a geometry-optimized Ba3NbTl structure.

a b c (Å): 6.0952 6.0952 6.0952
angles (deg): 90.00 90.00 90.00
Fractional positions:
Ba  0.0000  0.0000  0.5000
Ba  0.0000  0.5000  0.0000
Ba  0.5000  0.0000  0.0000
Nb  0.0000  0.0000  0.0000
Tl  0.5000  0.5000  0.5000

The value obtained for the offset from the most stable computed form is 0.0 meV per atom. The formation energy is 3.244 eV/f.u. For the total magnetization, the calculation gives 0.00 μB per cell. The calculation puts the density of states at the Fermi level at 8.25 states/eV/f.u. The density is 5.20 g/cm³. The value obtained for the calculated total energy is -2.992 eV/atom.

---

No. 4
A plane-wave DFT calculation with PBE was carried out for a geometry-optimized LiY2Pb structure.

a b c (Å): 6.1390 6.1390 6.1390
angles (deg): 136.69 136.69 62.91
Fractional positions:
Li  0.0000  0.0000  0.0000
Y  0.5000  0.5000  0.0000
Y  0.7500  0.2500  0.5000
Pb  0.2500  0.7500  0.5000

The formation energy is -0.891 eV/f.u. For the total magnetization, the calculation gives 0.00 μB per cell. The calculation puts the density of states at the Fermi level at 4.03 states/eV/f.u. The density is 6.05 g/cm³. The value obtained for the calculated total energy is -4.860 eV/atom.

---

No. 5
A plane-wave DFT calculation with PBE was carried out for a geometry-optimized TaTl2Si structure.

a b c (Å): 5.8262 5.8262 5.8262
angles (deg): 139.01 139.01 59.36
Fractional positions:
Ta  0.0000  0.0000  0.0000
Tl  0.2500  0.7500  0.5000
Tl  0.7500  0.2500  0.5000
Si  0.5000  0.5000  0.0000

The value obtained for the offset from the most stable computed form is 432.8 meV per atom. For the total magnetization, the calculation gives 0.00 μB per cell. The calculation puts the density of states at the Fermi level at 2.88 states/eV/f.u. The density is 12.18 g/cm³. The uncorrected formation energy is 2.849 eV per formula unit. The value obtained for the calculated total energy is -4.790 eV/atom.

---

No. 6
A plane-wave DFT calculation with PBE was carried out for a geometry-optimized YZr2Re2 structure.

a b c (Å): 7.9183 7.9183 3.3123
angles (deg): 90.00 90.00 90.00
Fractional positions:
Y  0.0000  0.0000  0.0000
Y  0.5000  0.5000  0.0000
Zr  0.1462  0.3538  0.5000
Zr  0.3538  0.8538  0.5000
Zr  0.6462  0.1462  0.5000
Zr  0.8538  0.6462  0.5000
Re  0.1462  0.6462  0.0000
Re  0.3538  0.1462  0.0000
Re  0.6462  0.8538  0.0000
Re  0.8538  0.3538  0.0000

The value obtained for the offset from the most stable computed form is 0.0 meV per atom. The formation energy is 0.468 eV/f.u. For the total magnetization, the calculation gives 0.00 μB per cell. The calculation puts the density of states at the Fermi level at 4.26 states/eV/f.u. The density is 10.29 g/cm³. The value obtained for the calculated total energy is -9.598 eV/atom.

---

No. 7
A plane-wave DFT calculation with PBE was carried out for a geometry-optimized Sm2As3PtRh4 structure.

a b c (Å): 4.1680 4.1680 10.6025
angles (deg): 90.00 90.00 90.00
Fractional positions:
Sm  0.0000  0.5000  0.2378
Sm  0.5000  0.0000  0.7622
As  0.0000  0.0000  0.0000
As  0.0000  0.5000  0.6307
As  0.5000  0.0000  0.3693
Pt  0.5000  0.5000  0.0000
Rh  0.0000  0.0000  0.5000
Rh  0.0000  0.5000  0.8520
Rh  0.5000  0.0000  0.1480
Rh  0.5000  0.5000  0.5000

The formation energy is -8.198 eV/f.u. For the total magnetization, the calculation gives 0.00 μB per cell. The calculation puts the density of states at the Fermi level at 5.34 states/eV/f.u. The density is 10.21 g/cm³. The value obtained for the calculated total energy is -6.703 eV/atom.

---

No. 8
A plane-wave DFT calculation with PBE was carried out for a geometry-optimized K2H5N structure.

a b c (Å): 4.4072 5.4563 5.9750
angles (deg): 85.29 68.40 89.80
Fractional positions:
K  0.0000  0.0000  0.0000
K  0.3381  0.4723  0.3204
H  0.0076  0.4982  0.9804
H  0.3577  0.9801  0.2854
H  0.4233  0.5650  0.7710
H  0.7026  0.7681  0.5836
H  0.7998  0.5665  0.7709
N  0.6679  0.5893  0.6576

For the total magnetization, the calculation gives 0.00 μB per cell. The calculation puts the density of states at the Fermi level at 0.00 states/eV/f.u. The density is 1.21 g/cm³. The value obtained for the calculated total energy is -3.674 eV/atom.

---

No. 9
A plane-wave DFT calculation with PBE was carried out for a geometry-optimized W2C structure.

a b c (Å): 3.5144 3.5144 6.1760
angles (deg): 90.00 90.00 90.00
Fractional positions:
W  0.2500  0.2500  0.1389
W  0.2500  0.7500  0.5000
W  0.7500  0.2500  0.5000
W  0.7500  0.7500  0.8611
C  0.2500  0.2500  0.7923
C  0.7500  0.7500  0.2077

The formation energy is 2.943 eV/f.u. For the total magnetization, the calculation gives 0.00 μB per cell. The calculation puts the density of states at the Fermi level at 1.83 states/eV/f.u. The density is 16.53 g/cm³. The value obtained for the calculated total energy is -10.729 eV/atom.

---

No. 10
A plane-wave DFT calculation with PBE was carried out for a geometry-optimized Cd2PAu structure.

a b c (Å): 5.1509 5.1509 2.9730
angles (deg): 90.00 90.00 90.00
Fractional positions:
Cd  0.0000  0.5000  0.0000
Cd  0.5000  0.0000  0.0000
P  0.0000  0.0000  0.5000
Au  0.5000  0.5000  0.5000

The formation energy is 0.480 eV/f.u. For the total magnetization, the calculation gives 0.00 μB per cell. The calculation puts the density of states at the Fermi level at 0.94 states/eV/f.u. The density is 9.53 g/cm³. The value obtained for the calculated total energy is -2.509 eV/atom.

---

No. 11
A plane-wave DFT calculation with PBE was carried out for a geometry-optimized Be2SiAs structure.

a b c (Å): 3.8342 3.8342 5.0294
angles (deg): 104.05 104.05 48.42
Fractional positions:
Be  0.2482  0.2482  0.2937
Be  0.7518  0.7518  0.7063
Si  0.0000  0.0000  0.5000
As  0.5000  0.5000  0.0000

The value obtained for the offset from the most stable computed form is 189.3 meV per atom. For the total magnetization, the calculation gives 0.00 μB per cell. The calculation puts the density of states at the Fermi level at 1.09 states/eV/f.u. The density is 3.77 g/cm³. The uncorrected formation energy is 1.449 eV per formula unit. The value obtained for the calculated total energy is -4.019 eV/atom.